Density functional theory data (PBE) for Ca2Nd2Au3 after structural relaxation.

a b c (Å): 5.1650 5.1650 9.0327
angles (deg): 106.49 106.49 59.94
Fractional coordinates of all 7 atoms:
1 Ca 0.1280 0.1280 0.3841
2 Ca 0.8720 0.8720 0.6159
3 Nd 0.3774 0.3774 0.1322
4 Nd 0.6226 0.6226 0.8678
5 Au 0.2580 0.2580 0.7744
6 Au 0.5000 0.5000 0.5000
7 Au 0.7420 0.7420 0.2256

Results
Total magnetization   0.00 μB/f.u.
DOS(E_F)   5.5 states/eV/f.u.
E   -3.990 eV per atom

Density functional theory data (PBE) for Ca2NdAu9 after structural relaxation.

a b c (Å): 10.0367 10.0367 10.0367
angles (deg): 32.36 32.36 32.36
Fractional coordinates of all 12 atoms:
1 Ca 0.1417 0.1417 0.1417
2 Ca 0.8583 0.8583 0.8583
3 Nd 0.0000 0.0000 0.0000
4 Au 0.0827 0.5865 0.5865
5 Au 0.3327 0.3327 0.3327
6 Au 0.4135 0.4135 0.9173
7 Au 0.4135 0.9173 0.4135
8 Au 0.5000 0.5000 0.5000
9 Au 0.5865 0.0827 0.5865
10 Au 0.5865 0.5865 0.0827
11 Au 0.6673 0.6673 0.6673
12 Au 0.9173 0.4135 0.4135

Results
Total magnetization   0.00 μB/f.u.
DOS(E_F)   6.1 states/eV/f.u.
E   -3.715 eV per atom